Compound: ScMoP2S
Source: the Alexandria database
Functional: GGA-PBE
Structure: optimized geometry

Output
ρ   3.426 Mg/m³
Spin magnetization   3.16 Bohr magnetons per cell
Uncorrected energy   -5.710 eV per atom
Uncorrected formation energy   0.71 eV/atom
Space group   P4/mmm, No. 123
ΔE to the lowest computed polymorph   703 meV/atom
DOS at the Fermi energy   0.748 states/eV/atom

abc: 4.8777 4.8777 4.7850
angles: 90.00 90.00 90.00
Site moments in Bohr magnetons follow the coordinates.
Fractional coordinates of all 5 atoms:
S: 0.0000 0.0000 0.5000  -0.15
Sc: 0.0000 0.0000 0.0000  0.03
P: 0.0000 0.5000 0.0000  -0.14
P: 0.5000 0.0000 0.0000  -0.14
Mo: 0.5000 0.5000 0.5000  3.34

Compound: Mn3CdRu
Source: the Alexandria database
Functional: GGA-PBE
Structure: optimized geometry

Output
ρ   5.834 Mg/m³
Spin magnetization   12.05 Bohr magnetons per cell
Uncorrected energy   -6.525 eV per atom
Space group   Pm-3m, No. 221
ΔE to the lowest computed polymorph   0 meV/atom
DOS at the Fermi energy   1.056 states/eV/atom
Formation energy from the elements   1.0149 eV/atom

abc: 4.7574 4.7574 4.7574
angles: 90.00 90.00 90.00
Site moments in Bohr magnetons follow the coordinates.
Fractional coordinates of all 5 atoms:
Ru: 0.0000 0.0000 0.0000  0.10
Mn: 0.0000 0.0000 0.5000  3.68
Mn: 0.5000 0.0000 0.0000  3.88
Mn: 0.0000 0.5000 0.0000  3.78
Cd: 0.5000 0.5000 0.5000  -0.04

Compound: Zr2TeC
Source: the Alexandria database
Functional: GGA-PBE
Structure: optimized geometry

Output
ρ   7.295 Mg/m³
Spin magnetization   0.00 Bohr magnetons per cell
Uncorrected energy   -8.247 eV per atom
Uncorrected formation energy   -0.88 eV/atom
Space group   R3m, No. 160
DOS at the Fermi energy   0.196 states/eV/atom

abc: 3.5486 3.5486 7.0274
angles: 75.38 75.38 60.00
Fractional coordinates of all 4 atoms:
C: 0.6685 0.6685 0.9944
Zr: 0.0584 0.0584 0.8248
Zr: 0.2730 0.2730 0.1811
Te: 0.5001 0.5001 0.4996

Compound: CdSb2MoN
Source: the Alexandria database
Functional: GGA-PBE
Structure: optimized geometry

Output
ρ   5.313 Mg/m³
Spin magnetization   2.69 Bohr magnetons per cell
Uncorrected energy   -4.351 eV per atom
Uncorrected formation energy   1.31 eV/atom
Space group   P4/mmm, No. 123
DOS at the Fermi energy   0.608 states/eV/atom

abc: 5.1530 5.4836 5.1530
angles: 90.00 90.00 90.00
Site moments in Bohr magnetons follow the coordinates.
Fractional coordinates of all 5 atoms:
N: 0.5000 0.5000 0.5000  1.73
Sb: 0.0000 0.0000 0.5000  -0.04
Sb: 0.5000 0.0000 0.0000  -0.02
Cd: 0.0000 0.5000 0.0000  0.02
Mo: 0.0000 0.0000 0.0000  0.19